Ca2ScTl4: relaxed, GGA-PBE.

Energy of formation from the pure elements (eV per atom): -0.26
Symmetry: No. 139

abc: 5.2087 5.2087 8.3188
angles: 108.24 108.24 90.00
Closest atoms and distances in Å follow each position.
Element x y z (fractional)
Ca (0.7510, 0.7510, 0.5019)  8 Tl 3.36-3.38, 4 Ca 3.68, 1 Sc 3.72
Ca (0.2490, 0.2490, 0.4981)  8 Tl 3.36-3.38, 4 Ca 3.68, 1 Sc 3.72
Tl (0.3932, 0.8932, 0.7864)  2 Sc 3.05, 1 Tl 3.19, 4 Ca 3.36-3.38
Tl (0.1068, 0.6068, 0.2136)  2 Sc 3.05, 1 Tl 3.19, 4 Ca 3.36-3.38
Tl (0.8932, 0.3932, 0.7864)  2 Sc 3.05, 1 Tl 3.19, 4 Ca 3.36-3.38
Tl (0.6068, 0.1068, 0.2136)  2 Sc 3.05, 1 Tl 3.19, 4 Ca 3.36-3.38
Sc (0.0000, 0.0000, 0.0000)  8 Tl 3.05



LiCu2Br8: relaxed, GGA-PBE.

Uncorrected formation energy (eV/atom): -0.2679
Symmetry: No. 97

abc: 7.2515 7.2515 7.8318
angles: 117.58 117.58 90.00
Closest atoms and distances in Å follow each position.
Element x y z (fractional)
Cu (0.7500, 0.2500, 0.5000)  4 Br 2.37
Cu (0.2500, 0.7500, 0.5000)  4 Br 2.37
Br (0.7058, 0.2102, 0.7637)  1 Cu 2.37
Br (0.2942, 0.4465, 0.2363)  1 Cu 2.37
Br (0.2102, 0.0579, 0.7637)  1 Cu 2.37
Br (0.0579, 0.5535, 0.7637)  1 Cu 2.37
Br (0.7898, 0.2942, 0.2363)  1 Cu 2.37
Br (0.5535, 0.7058, 0.7637)  1 Cu 2.37
Br (0.4465, 0.9421, 0.2363)  1 Cu 2.37
Br (0.9421, 0.7898, 0.2363)  1 Cu 2.37
Li (0.5000, 0.5000, 0.0000)  8 Br 3.00



Ba2TcW: relaxed, GGA-PBE.

Energy above the lowest structure with this stoichiometry (eV/atom): 1.061
Energy of formation from the pure elements (eV per atom): 1.57
Symmetry: No. 123

abc: 4.2419 4.2489 5.6205
angles: 90.00 90.00 90.00
Closest atoms and distances in Å follow each position.
Element x y z (fractional)
Ba (0.0000, 0.0000, 0.0000)  4 Ba 3.00
Ba (0.5000, 0.5000, 0.0000)  4 Ba 3.00
W (0.0000, 0.5000, 0.5000)  4 Tc 3.00
Tc (0.5000, 0.0000, 0.5000)  4 W 3.00



SrPaIn2Se4: relaxed, GGA-PBE.

Uncorrected formation energy (eV/atom): -1.1066
Symmetry: No. 10

abc: 4.2858 8.0941 7.5349
angles: 72.34 90.00 90.00
Closest atoms and distances in Å follow each position.
Element x y z (fractional)
Se (0.0000, 0.2841, 0.2668)  1 Pa 2.83, 2 Sr 3.09
Se (0.5000, 0.2886, 0.7155)  2 Pa 2.91, 1 Sr 3.12, 1 In 3.22
Se (0.5000, 0.7114, 0.2845)  2 Pa 2.91, 1 Sr 3.12, 1 In 3.22
Se (0.0000, 0.7159, 0.7332)  1 Pa 2.83, 2 Sr 3.09
In (0.0000, 0.0000, 0.0000)  6 Se 3.41-3.48
In (0.5000, 0.0000, 0.5000)  6 Se 3.22-3.24
Sr (0.5000, 0.5000, 0.0000)  6 Se 3.09-3.12
Pa (0.0000, 0.5000, 0.5000)  6 Se 2.83-2.91



NpFe2NiH8: relaxed, GGA-PBE.

Calculated total energy (eV/f.u.): -62.0
Symmetry: No. 2

abc: 4.0548 4.0554 5.5298
angles: 86.32 86.28 97.36
Closest atoms and distances in Å follow each position.
Element x y z (fractional)
Fe (0.6372, 0.6373, 0.7060)  5 H 1.65-1.66
Fe (0.3628, 0.3627, 0.2940)  5 H 1.65-1.66
Np (0.0000, 0.0000, 0.5000)  2 Fe 2.15, 6 H 2.18-2.31
H (0.6498, 0.1289, 0.2047)  1 Fe 1.66
H (0.1279, 0.6488, 0.2051)  1 Fe 1.66
H (0.2996, 0.2984, 0.0078)  1 Ni 1.61, 1 Fe 1.65
H (0.6375, 0.3545, 0.5027)  2 Fe 1.66, 1 H 1.72
H (0.3502, 0.8711, 0.7953)  1 Fe 1.66
H (0.8721, 0.3512, 0.7949)  1 Fe 1.66
H (0.7004, 0.7016, 0.9922)  1 Ni 1.61, 1 Fe 1.65
H (0.3625, 0.6455, 0.4973)  2 Fe 1.66, 1 H 1.72
Ni (0.0000, 0.0000, 0.0000)  2 H 1.61



Hf2NbGe: relaxed, GGA-PBE.

Energy of formation from the pure elements (eV per atom): -0.06
Symmetry: No. 166

abc: 3.1958 3.1958 9.2811
angles: 80.09 80.09 60.00
Closest atoms and distances in Å follow each position.
Element x y z (fractional)
Nb (0.5000, 0.5000, 0.5000)  6 Hf 2.99, 6 Nb 3.20
Hf (0.7473, 0.7473, 0.7582)  3 Ge 2.87, 3 Nb 2.99, 6 Hf 3.20
Hf (0.2527, 0.2527, 0.2418)  3 Ge 2.87, 3 Nb 2.99, 6 Hf 3.20
Ge (0.0000, 0.0000, 0.0000)  6 Hf 2.87, 6 Ge 3.20



LiAc2SmTe4: relaxed, GGA-PBE.

Uncorrected formation energy (eV/atom): -1.4011
Symmetry: No. 10

abc: 4.5825 7.8255 8.0006
angles: 70.35 90.00 90.00
Closest atoms and distances in Å follow each position.
Element x y z (fractional)
Te (0.5000, 0.2731, 0.7489)  1 Li 3.10, 2 Sm 3.16, 3 Ac 3.31-3.38
Te (0.0000, 0.2759, 0.2365)  2 Li 3.11, 1 Sm 3.16, 3 Ac 3.31-3.36
Te (0.5000, 0.7269, 0.2511)  1 Li 3.10, 2 Sm 3.16, 3 Ac 3.31-3.38
Te (0.0000, 0.7241, 0.7635)  2 Li 3.11, 1 Sm 3.16, 3 Ac 3.31-3.36
Sm (0.0000, 0.5000, 0.5000)  6 Te 3.16
Ac (0.0000, 0.0000, 0.0000)  6 Te 3.31
Ac (0.5000, 0.0000, 0.5000)  6 Te 3.36-3.38
Li (0.5000, 0.5000, 0.0000)  6 Te 3.10-3.11



Rb3Te4As: relaxed, GGA-PBE.

Energy above the lowest structure with this stoichiometry (eV/atom): 0.000
Uncorrected formation energy (eV/atom): -0.6407
Symmetry: No. 62

abc: 10.2936 11.2513 12.2593
angles: 90.00 90.00 90.00
Closest atoms and distances in Å follow each position.
Element x y z (fractional)
Rb (0.4342, 0.8127, 0.0461)  6 Te 3.63-4.05
Rb (0.9342, 0.6873, 0.0461)  6 Te 3.63-4.05
Rb (0.6567, 0.4124, 0.2500)  7 Te 3.76-4.06
Rb (0.5658, 0.1873, 0.5461)  6 Te 3.63-4.05
Rb (0.4342, 0.8127, 0.4539)  6 Te 3.63-4.05
Rb (0.5658, 0.1873, 0.9539)  6 Te 3.63-4.05
Rb (0.8433, 0.9124, 0.7500)  7 Te 3.76-4.06
Rb (0.1567, 0.0876, 0.2500)  7 Te 3.76-4.06
Rb (0.9342, 0.6873, 0.4539)  6 Te 3.63-4.05
Rb (0.0658, 0.3127, 0.9539)  6 Te 3.63-4.05
Rb (0.0658, 0.3127, 0.5461)  6 Te 3.63-4.05
Rb (0.3433, 0.5876, 0.7500)  7 Te 3.76-4.06
Te (0.1257, 0.9775, 0.5645)  1 As 2.71
Te (0.3211, 0.2540, 0.7500)  1 As 2.59
Te (0.6257, 0.5225, 0.9355)  1 As 2.71
Te (0.6257, 0.5225, 0.5645)  1 As 2.71
Te (0.8743, 0.0225, 0.0645)  1 As 2.71
Te (0.8211, 0.2460, 0.7500)  1 As 2.59
Te (0.9712, 0.5952, 0.7500)  1 As 2.63
Te (0.1257, 0.9775, 0.9355)  1 As 2.71
Te (0.4712, 0.9048, 0.7500)  1 As 2.63
Te (0.5288, 0.0952, 0.2500)  1 As 2.63
Te (0.1789, 0.7540, 0.2500)  1 As 2.59
Te (0.8743, 0.0225, 0.4355)  1 As 2.71
Te (0.3743, 0.4775, 0.0645)  1 As 2.71
Te (0.3743, 0.4775, 0.4355)  1 As 2.71
Te (0.0288, 0.4048, 0.2500)  1 As 2.63
Te (0.6789, 0.7460, 0.2500)  1 As 2.59
As (0.2435, 0.5314, 0.2500)  4 Te 2.59-2.71
As (0.7435, 0.9686, 0.2500)  4 Te 2.59-2.71
As (0.2565, 0.0314, 0.7500)  4 Te 2.59-2.71
As (0.7565, 0.4686, 0.7500)  4 Te 2.59-2.71



TbSn2Pd7Au2: relaxed, GGA-PBE.

Energy of formation from the pure elements (eV per atom): -0.46
Symmetry: No. 12

abc: 4.1325 4.1325 14.0478
angles: 72.42 72.42 88.72
Closest atoms and distances in Å follow each position.
Element x y z (fractional)
Sn (0.3201, 0.3201, 0.6790)  6 Pd 2.71-2.89, 4 Au 2.89-2.96
Sn (0.6799, 0.6799, 0.3210)  6 Pd 2.71-2.89, 4 Au 2.89-2.96
Pd (0.6634, 0.1635, 0.8370)  2 Au 2.85-2.86, 2 Sn 2.88-2.89, 6 Pd 2.89-2.95, 2 Tb 2.93
Pd (0.7474, 0.7474, 0.5002)  2 Sn 2.71, 2 Au 2.76, 4 Pd 2.89-2.98
Pd (0.3366, 0.8365, 0.1630)  2 Au 2.85-2.86, 2 Sn 2.88-2.89, 6 Pd 2.89-2.95, 2 Tb 2.93
Pd (0.1635, 0.6634, 0.8370)  2 Au 2.85-2.86, 2 Sn 2.88-2.89, 6 Pd 2.89-2.95, 2 Tb 2.93
Pd (0.5000, 0.5000, 0.0000)  4 Tb 2.89-2.95, 8 Pd 2.93
Pd (0.8365, 0.3366, 0.1630)  2 Au 2.85-2.86, 2 Sn 2.88-2.89, 6 Pd 2.89-2.95, 2 Tb 2.93
Pd (0.2526, 0.2526, 0.4998)  2 Sn 2.71, 2 Au 2.76, 4 Pd 2.89-2.98
Tb (0.0000, 0.0000, 0.0000)  12 Pd 2.89-2.95
Au (0.8177, 0.8177, 0.6824)  6 Pd 2.76-2.86, 4 Sn 2.89-2.96
Au (0.1823, 0.1823, 0.3176)  6 Pd 2.76-2.86, 4 Sn 2.89-2.96



CaTbPdAu: relaxed, GGA-PBE.

Energy above the lowest structure with this stoichiometry (eV/atom): 0.025
Energy of formation from the pure elements (eV per atom): -0.79
Symmetry: No. 216

abc: 5.0439 5.0439 5.0439
angles: 60.00 60.00 60.00
Closest atoms and distances in Å follow each position.
Element x y z (fractional)
Pd (0.5000, 0.5000, 0.5000)  4 Tb 3.09, 4 Ca 3.09
Ca (0.2500, 0.2500, 0.2500)  4 Pd 3.09, 4 Au 3.09
Tb (0.7500, 0.7500, 0.7500)  4 Au 3.09, 4 Pd 3.09
Au (0.0000, 0.0000, 0.0000)  4 Ca 3.09, 4 Tb 3.09



AcCeNpO6: relaxed, GGA-PBE.

Uncorrected formation energy (eV/atom): -3.2075
Symmetry: No. 163

abc: 5.9775 5.9775 10.0739
angles: 90.00 90.00 120.00
Closest atoms and distances in Å follow each position.
Element x y z (fractional)
Ac (0.0000, 0.0000, 0.5000)  6 O 2.57
Ac (0.0000, 0.0000, 0.0000)  6 O 2.57
Ce (0.6667, 0.3333, 0.7500)  6 O 2.30
Ce (0.3333, 0.6667, 0.2500)  6 O 2.30
O (0.6309, 0.9793, 0.8590)  1 Np 2.13, 1 Ce 2.30
O (0.0207, 0.6515, 0.8590)  1 Np 2.13, 1 Ce 2.30
O (0.9793, 0.6309, 0.3590)  1 Np 2.13, 1 Ce 2.30
O (0.9793, 0.3485, 0.1410)  1 Np 2.13, 1 Ce 2.30
O (0.6515, 0.0207, 0.3590)  1 Np 2.13, 1 Ce 2.30
O (0.3691, 0.0207, 0.1410)  1 Np 2.13, 1 Ce 2.30
O (0.6515, 0.6309, 0.1410)  1 Np 2.13, 1 Ce 2.30
O (0.3485, 0.3691, 0.8590)  1 Np 2.13, 1 Ce 2.30
O (0.3691, 0.3485, 0.3590)  1 Np 2.13, 1 Ce 2.30
O (0.0207, 0.3691, 0.6410)  1 Np 2.13, 1 Ce 2.30
O (0.6309, 0.6515, 0.6410)  1 Np 2.13, 1 Ce 2.30
O (0.3485, 0.9793, 0.6410)  1 Np 2.13, 1 Ce 2.30
Np (0.6667, 0.3333, 0.2500)  6 O 2.13
Np (0.3333, 0.6667, 0.7500)  6 O 2.13



Sm3Y4Al: relaxed, GGA-PBE.

Energy of formation from the pure elements (eV per atom): -0.09
Symmetry: No. 123

abc: 3.5741 3.5741 19.2754
angles: 90.00 90.00 90.00
Closest atoms and distances in Å follow each position.
Element x y z (fractional)
Y (0.0000, 0.0000, 0.9023)  4 Al 3.15
Y (0.0000, 0.0000, 0.0977)  4 Al 3.15
Y (0.0000, 0.0000, 0.6336)  4 Y 3.57, 8 Sm 3.60-3.61
Y (0.0000, 0.0000, 0.3664)  4 Y 3.57, 8 Sm 3.60-3.61
Sm (0.5000, 0.5000, 0.2331)  4 Sm 3.57, 8 Y 3.60-3.63
Sm (0.5000, 0.5000, 0.7669)  4 Sm 3.57, 8 Y 3.60-3.63
Sm (0.5000, 0.5000, 0.5000)  4 Sm 3.57, 8 Y 3.61
Al (0.5000, 0.5000, 0.0000)  8 Y 3.15



NaLa2Tl: relaxed, GGA-PBE.

Energy above the lowest structure with this stoichiometry (eV/atom): 0.014
Energy of formation from the pure elements (eV per atom): -0.12
Symmetry: No. 123

abc: 4.6928 5.2106 5.2106
angles: 90.00 90.00 90.00
Closest atoms and distances in Å follow each position.
Element x y z (fractional)
La (0.0000, 0.5000, 0.0000)  4 Na 3.51, 4 Tl 3.51, 4 La 3.68
La (0.0000, 0.0000, 0.5000)  4 Na 3.51, 4 Tl 3.51, 4 La 3.68
Na (0.5000, 0.0000, 0.0000)  8 La 3.51, 4 Tl 3.68
Tl (0.5000, 0.5000, 0.5000)  8 La 3.51, 4 Na 3.68



Sm5NiTe4: relaxed, GGA-PBE.

Uncorrected formation energy (eV/atom): -1.1633
Symmetry: No. 79

abc: 6.2457 7.5833 7.5833
angles: 80.24 65.68 65.68
Closest atoms and distances in Å follow each position.
Element x y z (fractional)
Te (0.8096, 0.7781, 0.6047)  6 Sm 3.13-3.28
Te (0.5877, 0.6047, 0.2219)  6 Sm 3.13-3.28
Te (0.1924, 0.2219, 0.3953)  6 Sm 3.13-3.28
Te (0.4143, 0.3953, 0.7781)  6 Sm 3.13-3.28
Sm (0.7358, 0.1705, 0.3598)  1 Ni 2.75
Sm (0.9062, 0.3598, 0.8295)  1 Ni 2.75
Sm (0.5007, 0.0000, 0.0000)  2 Ni 3.11-3.13, 4 Te 3.13
Sm (0.2660, 0.8295, 0.6402)  1 Ni 2.75
Sm (0.0956, 0.6402, 0.1705)  1 Ni 2.75
Ni (0.0021, 0.0000, 0.0000)  4 Sm 2.75



Tb5Dy2In: relaxed, GGA-PBE.

Energy of formation from the pure elements (eV per atom): -0.11
Symmetry: No. 139

abc: 4.9084 4.9084 10.6456
angles: 103.33 103.33 90.00
Closest atoms and distances in Å follow each position.
Element x y z (fractional)
Dy (0.2533, 0.2533, 0.5067)  4 Dy 3.47, 8 Tb 3.51-3.61
Dy (0.7467, 0.7467, 0.4933)  4 Dy 3.47, 8 Tb 3.51-3.61
In (0.0000, 0.0000, 0.0000)  12 Tb 3.47
Tb (0.1221, 0.6221, 0.2443)  6 Tb 3.47, 2 In 3.47, 4 Dy 3.51-3.61
Tb (0.3779, 0.8779, 0.7557)  6 Tb 3.47, 2 In 3.47, 4 Dy 3.51-3.61
Tb (0.5000, 0.5000, 0.0000)  4 In 3.47, 8 Tb 3.47
Tb (0.8779, 0.3779, 0.7557)  6 Tb 3.47, 2 In 3.47, 4 Dy 3.51-3.61
Tb (0.6221, 0.1221, 0.2443)  6 Tb 3.47, 2 In 3.47, 4 Dy 3.51-3.61



BiC2Se: relaxed, GGA-PBE.

Energy above the lowest structure with this stoichiometry (eV/atom): 0.596
Uncorrected formation energy (eV/atom): 2.4434
Symmetry: No. 225

abc: 4.4155 4.4155 4.4155
angles: 60.00 60.00 60.00
Closest atoms and distances in Å follow each position.
Element x y z (fractional)
C (0.2500, 0.2500, 0.2500)  4 Bi 2.70, 4 Se 2.70
C (0.7500, 0.7500, 0.7500)  4 Bi 2.70, 4 Se 2.70
Bi (0.5000, 0.5000, 0.5000)  8 C 2.70
Se (0.0000, 0.0000, 0.0000)  8 C 2.70



MgCoI: relaxed, GGA-PBE.

Energy above the lowest structure with this stoichiometry (eV/atom): 0.721
Uncorrected formation energy (eV/atom): 0.4726
Symmetry: No. 129

abc: 4.9870 4.9870 5.3525
angles: 90.00 90.00 90.00
Closest atoms and distances in Å follow each position.
Element x y z (fractional)
Mg (0.0000, 0.5000, 0.8940)  2 Co 2.54-2.81
Mg (0.5000, 0.0000, 0.1060)  2 Co 2.54-2.81
Co (0.5000, 0.0000, 0.6307)  2 Mg 2.54-2.81, 4 I 2.59
Co (0.0000, 0.5000, 0.3693)  2 Mg 2.54-2.81, 4 I 2.59
I (0.5000, 0.5000, 0.5000)  4 Co 2.59
I (0.0000, 0.0000, 0.5000)  4 Co 2.59



RbGaGe: relaxed, GGA-PBE.

Energy of formation from the pure elements (eV per atom): -0.01
Symmetry: No. 8

abc: 15.0139 7.8786 7.8786
angles: 150.72 150.99 29.01
Closest atoms and distances in Å follow each position.
Element x y z (fractional)
Ga (0.4304, 0.0352, 0.9648)  2 Ga 2.68, 1 Ge 2.72
Ga (0.4072, 0.4386, 0.5614)  3 Ge 2.61-2.80, 2 Ga 2.68
Ge (0.1018, 0.2156, 0.7844)  2 Ge 2.61, 3 Ga 2.72-2.80
Ge (0.0872, 0.6183, 0.3817)  1 Ga 2.61, 2 Ge 2.61
Rb (0.9422, 0.0487, 0.9513)  4 Ge 3.67-3.74, 5 Ga 3.68-3.90, 2 Rb 3.98
Rb (0.5704, 0.6076, 0.3924)  4 Ga 3.62-3.71, 5 Ge 3.63-3.90, 2 Rb 3.98



Yb2Fe3Cu: relaxed, GGA-PBE.

Energy of formation from the pure elements (eV per atom): 0.04
Symmetry: No. 166

abc: 5.2747 5.2747 5.2747
angles: 57.81 57.81 57.81
Closest atoms and distances in Å follow each position.
Element x y z (fractional)
Yb (0.8761, 0.8761, 0.8761)  3 Cu 3.00, 9 Fe 3.02-3.12, 4 Yb 3.15-3.25
Yb (0.1239, 0.1239, 0.1239)  3 Cu 3.00, 9 Fe 3.02-3.12, 4 Yb 3.15-3.25
Fe (0.5000, 0.0000, 0.5000)  4 Fe 2.55, 2 Cu 2.64
Fe (0.5000, 0.5000, 0.0000)  4 Fe 2.55, 2 Cu 2.64
Fe (0.0000, 0.5000, 0.5000)  4 Fe 2.55, 2 Cu 2.64
Cu (0.5000, 0.5000, 0.5000)  6 Fe 2.64



LiPaO4: relaxed, GGA-PBE.

Energy above the lowest structure with this stoichiometry (eV/atom): 0.000
Uncorrected formation energy (eV/atom): -2.4067
Symmetry: No. 8

abc: 3.9503 3.9287 5.7013
angles: 95.23 90.00 120.18
Closest atoms and distances in Å follow each position.
Element x y z (fractional)
Pa (0.0541, 0.1082, 0.0293)  1 O 1.96
O (0.8516, 0.7031, 0.6863)  1 O 1.48
O (0.6943, 0.3887, 0.8477)  1 O 1.48
O (0.0988, 0.1977, 0.3744)  1 Pa 1.96, 1 Li 2.07
O (0.3999, 0.7998, 0.0918)  1 Li 2.16, 3 Pa 2.28-2.34
Li (0.4013, 0.8025, 0.4705)  2 O 2.07-2.16



Magnetization for the records above, in order: 0.0000, 0.0001, 0.0000, 0.1263, 0.1065, 0.0000, 0.0000, 0.0000, 0.0000, 0.0000, 0.2261, 0.0000, 0.0008, 0.0000, 0.0001, 0.0000, 0.0000, 0.0000, 1.1198, 0.0000 μB/atom